No. 1
Here is a relaxed structure of Li2AlCr from Alexandria via LeMat-Bulk. Energies are from PBE.

Cell lengths 4.8150, 4.8150, 2.9982 Å; angles 90.00, 90.00, 108.75 degrees
Sites, in units of the cell vectors:
Al 0.5000 0.0000 0.5000
Cr 0.0000 0.5000 0.5000
Li 0.0000 0.0000 0.0000
Li 0.5000 0.5000 0.0000

Computed properties:
Mass density (g/cm³): 2.34
Calculated formation energy (eV per formula unit): 1.123
Space group: Cmmm (65)
N(E_F) (states/eV/f.u.): 1.36
Total DFT energy (no corrections) (Ha/atom): -0.148


No. 2
Here is a relaxed structure of LiAl2Cr from Alexandria via LeMat-Bulk. Energies are from PBE.

Cell lengths 4.4052, 4.4052, 4.4052 Å; angles 60.00, 60.00, 60.00 degrees
Sites, in units of the cell vectors:
Al 0.0000 0.0000 0.0000
Al 0.2500 0.2500 0.2500
Cr 0.5000 0.5000 0.5000
Li 0.7500 0.7500 0.7500

Computed properties:
Mass density (g/cm³): 3.10
Calculated formation energy (eV per formula unit): 0.252
Space group: F-43m (216)
N(E_F) (states/eV/f.u.): 2.40
Total DFT energy (no corrections) (Ha/atom): -0.172


No. 3
Here is a relaxed structure of LiAlCr4 from Alexandria via LeMat-Bulk. Energies are from PBE.

Cell lengths 4.7949, 4.7949, 4.7949 Å; angles 60.00, 60.00, 60.00 degrees
Sites, in units of the cell vectors:
Li 0.2500 0.2500 0.2500
Al 0.0000 0.0000 0.0000
Cr 0.6236 0.6236 0.1293
Cr 0.6236 0.1293 0.6236
Cr 0.6236 0.6236 0.6236
Cr 0.1293 0.6236 0.6236

Computed properties:
Mass density (g/cm³): 5.15
Calculated formation energy (eV per formula unit): 1.960
Space group: F-43m (216)
N(E_F) (states/eV/f.u.): 9.88
Total DFT energy (no corrections) (Ha/atom): -0.258


No. 4
Here is a relaxed structure of Li2AlCr from Alexandria via LeMat-Bulk. Energies are from PBE.

Cell lengths 2.5284, 2.5284, 9.3047 Å; angles 90.00, 90.00, 109.70 degrees
Sites, in units of the cell vectors:
Al 0.5000 0.5000 0.2500
Cr 0.5000 0.5000 0.7500
Li 0.0000 0.0000 0.9962
Li 0.0000 0.0000 0.5038

Computed properties:
Mass density (g/cm³): 2.75
Calculated formation energy (eV per formula unit): 1.135
Space group: Cmmm (65)
N(E_F) (states/eV/f.u.): 2.45
Total DFT energy (no corrections) (Ha/atom): -0.148


No. 5
Here is a relaxed structure of LiAl2Cr from Alexandria via LeMat-Bulk. Energies are from PBE.

Cell lengths 2.6373, 2.6373, 8.4659 Å; angles 90.00, 90.00, 97.87 degrees
Sites, in units of the cell vectors:
Al 0.0000 0.0000 0.0199
Al 0.0000 0.0000 0.4801
Cr 0.5000 0.5000 0.2500
Li 0.5000 0.5000 0.7500

Computed properties:
Mass density (g/cm³): 3.21
Calculated formation energy (eV per formula unit): -0.114
Space group: Cmmm (65)
N(E_F) (states/eV/f.u.): 3.39
Total DFT energy (no corrections) (Ha/atom): -0.176


No. 6
Here is a relaxed structure of Li2AlCr from Alexandria via LeMat-Bulk. Energies are from PBE.

Cell lengths 5.3314, 5.3314, 4.3826 Å; angles 65.98, 65.98, 33.59 degrees
Sites, in units of the cell vectors:
Al 0.2500 0.2500 0.2500
Cr 0.7500 0.7500 0.7500
Li 0.9956 0.9956 0.0045
Li 0.5044 0.5044 0.4955

Computed properties:
Mass density (g/cm³): 2.47
Calculated formation energy (eV per formula unit): 0.511
Space group: C2/m (12)
N(E_F) (states/eV/f.u.): 1.63
Total DFT energy (no corrections) (Ha/atom): -0.153


Copy entry 5 word for word.
Here is a relaxed structure of LiAl2Cr from Alexandria via LeMat-Bulk. Energies are from PBE.

Cell lengths 2.6373, 2.6373, 8.4659 Å; angles 90.00, 90.00, 97.87 degrees
Sites, in units of the cell vectors:
Al 0.0000 0.0000 0.0199
Al 0.0000 0.0000 0.4801
Cr 0.5000 0.5000 0.2500
Li 0.5000 0.5000 0.7500

Computed properties:
Mass density (g/cm³): 3.21
Calculated formation energy (eV per formula unit): -0.114
Space group: Cmmm (65)
N(E_F) (states/eV/f.u.): 3.39
Total DFT energy (no corrections) (Ha/atom): -0.176


Which value of calculated formation energy does entry 1 give? 1.123 eV per formula unit


Which of these has the highest mass density? LiAlCr4